VASP calculation (GGA-PBE) on a relaxed TbSmDy2Se6 crystal.

## Properties
- DOS at the Fermi energy (states/eV per atom) = 0.00
- ΔE_f (raw) (meV per atom) = -1851.4
- VASP energy (eV per atom) = -5.80
- density (g/cm³) = 6.19

Lattice parameters (Å, degrees): 7.2590 7.2590 7.7429 62.04 62.04 60.00
Last column: nearest neighbours and their distance in Å.
Fractional coordinates of all 10 atoms:
Se1 0.4057 0.7235 0.7499  2 Dy 2.84-2.91, 1 Sm 2.90, 1 Tb 2.92
Se2 0.2246 0.9133 0.2490  2 Dy 2.85-2.91, 1 Tb 2.86, 1 Sm 2.98
Se3 0.9134 0.6131 0.2490  2 Dy 2.85-2.91, 1 Tb 2.86, 1 Sm 2.98
Se4 0.7236 0.1207 0.7499  2 Dy 2.84-2.91, 1 Sm 2.90, 1 Tb 2.92
Se5 0.1208 0.4058 0.7499  2 Dy 2.84-2.91, 1 Sm 2.90, 1 Tb 2.92
Se6 0.6131 0.2246 0.2490  2 Dy 2.85-2.91, 1 Tb 2.86, 1 Sm 2.98
Dy1 0.5147 0.5146 0.4561  6 Se 2.85-2.91
Dy2 0.0131 0.0131 0.9608  6 Se 2.84-2.91
Sm1 0.8152 0.8153 0.5542  6 Se 2.90-2.98
Tb1 0.3175 0.3175 0.0474  6 Se 2.86-2.92

***

VASP calculation (GGA-PBE) on a relaxed CrTcBr2 crystal.

## Properties
- DOS at the Fermi energy (states/eV per atom) = 1.78
- ΔE_f (raw) (meV per atom) = 994.6
- VASP energy (eV per atom) = -4.84
- density (g/cm³) = 7.04
- energy above the lowest structure with this stoichiometry (meV per atom) = 932

Lattice parameters (Å, degrees): 8.5982 8.5982 8.5982 21.23 21.23 21.23
Last column: nearest neighbours and their distance in Å.
Fractional coordinates of all 4 atoms:
Cr1 0.0000 0.0000 0.0000  2 Br 2.32
Tc1 0.5000 0.5000 0.5000  6 Br 2.63
Br1 0.9081 0.9081 0.9081  1 Cr 2.32
Br2 0.0919 0.0919 0.0919  1 Cr 2.32

***

VASP calculation (GGA-PBE) on a relaxed SmDy3Pu2Te6 crystal.

## Properties
- DOS at the Fermi energy (states/eV per atom) = 1.91
- ΔE_f (raw) (meV per atom) = -1258.8
- VASP energy (eV per atom) = -6.76
- density (g/cm³) = 8.73

Lattice parameters (Å, degrees): 4.3739 8.8253 9.8407 103.35 102.84 90.00
Last column: nearest neighbours and their distance in Å.
Fractional coordinates of all 12 atoms:
Sm1 0.5000 0.0000 0.0000  6 Te 3.14
Pu1 0.8340 0.6672 0.6680  6 Te 3.12-3.14
Pu2 0.1660 0.3328 0.3320  6 Te 3.12-3.14
Te1 0.9988 0.2545 0.9975  3 Dy 3.07, 1 Pu 3.12, 2 Sm 3.14
Te2 0.3315 0.9189 0.6630  3 Dy 3.08-3.09, 2 Pu 3.13, 1 Sm 3.14
Te3 0.6658 0.5864 0.3316  3 Dy 3.09, 3 Pu 3.13-3.14
Te4 0.0012 0.7455 0.0025  3 Dy 3.07, 1 Pu 3.12, 2 Sm 3.14
Te5 0.6685 0.0811 0.3370  3 Dy 3.08-3.09, 2 Pu 3.13, 1 Sm 3.14
Te6 0.3342 0.4136 0.6684  3 Dy 3.09, 3 Pu 3.13-3.14
Dy1 0.1659 0.8339 0.3317  6 Te 3.07-3.09
Dy2 0.5000 0.5000 0.0000  6 Te 3.07-3.09
Dy3 0.8341 0.1661 0.6683  6 Te 3.07-3.09

***

VASP calculation (GGA-PBE) on a relaxed LiTl2Ag crystal.

## Properties
- DOS at the Fermi energy (states/eV per atom) = 0.27
- formation enthalpy at 0 K (eV/f.u.) = -0.18
- VASP energy (eV per atom) = -2.42
- density (g/cm³) = 9.68
- energy above the lowest structure with this stoichiometry (meV per atom) = 16

Lattice parameters (Å, degrees): 4.6652 4.6720 4.1208 90.00 90.00 90.00
Last column: nearest neighbours and their distance in Å.
Fractional coordinates of all 4 atoms:
Li1 0.0000 0.5000 0.5000  8 Tl 3.11, 4 Ag 3.30
Tl1 0.0000 0.0000 0.0000  4 Ag 3.11, 4 Li 3.11, 4 Tl 3.30
Tl2 0.5000 0.5000 0.0000  4 Li 3.11, 4 Ag 3.11, 4 Tl 3.30
Ag1 0.5000 0.0000 0.5000  8 Tl 3.11, 4 Li 3.30

***

VASP calculation (GGA-PBE) on a relaxed HPd3Rh crystal.

## Properties
- DOS at the Fermi energy (states/eV per atom) = 0.93
- VASP energy (eV per atom) = -3.69
- density (g/cm³) = 6.13
- energy above the lowest structure with this stoichiometry (meV per atom) = 1489

Lattice parameters (Å, degrees): 4.8578 4.8578 4.8578 90.00 90.00 90.00
Last column: nearest neighbours and their distance in Å.
Fractional coordinates of all 5 atoms:
Pd1 0.0000 0.5000 0.0000  2 Rh 2.43
Pd2 0.5000 0.0000 0.0000  2 Rh 2.43
Pd3 0.0000 0.0000 0.5000  2 Rh 2.43
Rh1 0.0000 0.0000 0.0000  6 Pd 2.43
H1 0.5000 0.5000 0.5000  12 Pd 3.43

***

VASP calculation (GGA-PBE) on a relaxed LiBe2CrSe crystal.

## Properties
- DOS at the Fermi energy (states/eV per atom) = 1.25
- ΔE_f (raw) (meV per atom) = 1122.7
- VASP energy (eV per atom) = -3.37
- density (g/cm³) = 3.23

Lattice parameters (Å, degrees): 4.2915 4.3542 4.2915 90.00 90.00 90.00
Last column: nearest neighbours and their distance in Å.
Fractional coordinates of all 5 atoms:
Li1 0.0000 0.5000 0.0000  2 Se 2.18
Be1 0.0000 0.0000 0.5000  2 Se 2.15
Be2 0.5000 0.0000 0.0000  2 Se 2.15
Cr1 0.5000 0.5000 0.5000  4 Li 3.03, 8 Be 3.06
Se1 0.0000 0.0000 0.0000  4 Be 2.15, 2 Li 2.18

***

VASP calculation (GGA-PBE) on a relaxed PmPr2Cl crystal.

## Properties
- DOS at the Fermi energy (states/eV per atom) = 0.80
- ΔE_f (raw) (meV per atom) = -685.8
- VASP energy (eV per atom) = -4.72
- density (g/cm³) = 6.13

Lattice parameters (Å, degrees): 3.7354 3.7354 10.5888 79.84 79.84 60.00
Last column: nearest neighbours and their distance in Å.
Fractional coordinates of all 4 atoms:
Pr1 0.7391 0.7391 0.7826  3 Cl 3.12
Pr2 0.2609 0.2609 0.2174  3 Cl 3.12
Pm1 0.5000 0.5000 0.5000  6 Pr 3.64, 6 Pm 3.74
Cl1 0.0000 0.0000 0.0000  6 Pr 3.12

***

VASP calculation (GGA-PBE) on a relaxed Ho12ZnPd6 crystal.

## Properties
- DOS at the Fermi energy (states/eV per atom) = 0.97
- formation enthalpy at 0 K (eV/f.u.) = -8.54
- VASP energy (eV per atom) = -5.05
- density (g/cm³) = 8.41

Lattice parameters (Å, degrees): 8.3167 8.3167 8.3167 102.16 102.16 102.16
Last column: nearest neighbours and their distance in Å.
Fractional coordinates of all 19 atoms:
Ho1 0.0587 0.6744 0.9255  2 Pd 2.77-2.82, 1 Zn 2.82
Ho2 0.0745 0.9413 0.3256  2 Pd 2.77-2.82, 1 Zn 2.82
Ho3 0.9255 0.0587 0.6744  2 Pd 2.77-2.82, 1 Zn 2.82
Ho4 0.4111 0.5631 0.1714  4 Pd 2.85-2.96
Ho5 0.5631 0.1714 0.4111  4 Pd 2.85-2.96
Ho6 0.3256 0.0745 0.9413  2 Pd 2.77-2.82, 1 Zn 2.82
Ho7 0.5889 0.4369 0.8286  4 Pd 2.85-2.96
Ho8 0.9413 0.3256 0.0745  2 Pd 2.77-2.82, 1 Zn 2.82
Ho9 0.8286 0.5889 0.4369  4 Pd 2.85-2.96
Ho10 0.1714 0.4111 0.5631  4 Pd 2.85-2.96
Ho11 0.6744 0.9255 0.0587  2 Pd 2.77-2.82, 1 Zn 2.82
Ho12 0.4369 0.8286 0.5889  4 Pd 2.85-2.96
Zn1 0.0000 0.0000 0.0000  6 Ho 2.82
Pd1 0.6213 0.3174 0.1404  6 Ho 2.77-2.96
Pd2 0.3174 0.1404 0.6213  6 Ho 2.77-2.96
Pd3 0.6826 0.8596 0.3787  6 Ho 2.77-2.96
Pd4 0.1404 0.6213 0.3174  6 Ho 2.77-2.96
Pd5 0.8596 0.3787 0.6826  6 Ho 2.77-2.96
Pd6 0.3787 0.6826 0.8596  6 Ho 2.77-2.96

***

VASP calculation (GGA-PBE) on a relaxed Sm2Fe5Co12C crystal.

## Properties
- DOS at the Fermi energy (states/eV per atom) = 1.08
- formation enthalpy at 0 K (eV/f.u.) = -1.15
- VASP energy (eV per atom) = -7.37
- density (g/cm³) = 8.46

Lattice parameters (Å, degrees): 6.3952 6.3952 6.3458 83.72 83.72 83.49
Last column: nearest neighbours and their distance in Å.
Fractional coordinates of all 20 atoms:
C1 0.5000 0.5000 0.0000  4 Co 1.84-1.85
Sm1 0.6601 0.6601 0.6418  1 C 2.55
Sm2 0.3399 0.3399 0.3582  1 C 2.55
Co1 0.2838 0.7162 0.0000  1 C 1.84
Co2 0.7162 0.2838 0.0000  1 C 1.84
Co3 0.0010 0.2825 0.7173  3 Fe 2.39-2.67, 6 Co 2.40-2.65
Co4 0.9990 0.7175 0.2827  3 Fe 2.39-2.67, 6 Co 2.40-2.65
Co5 0.8532 0.3416 0.3485  3 Fe 2.42-2.62, 6 Co 2.47-2.65
Co6 0.2825 0.0010 0.7173  3 Fe 2.39-2.67, 6 Co 2.40-2.65
Co7 0.3459 0.3459 0.8549  1 C 1.85
Co8 0.3416 0.8532 0.3485  3 Fe 2.42-2.62, 6 Co 2.47-2.65
Co9 0.6541 0.6541 0.1451  1 C 1.85
Co10 0.1468 0.6584 0.6515  3 Fe 2.42-2.62, 6 Co 2.47-2.65
Co11 0.7175 0.9990 0.2827  3 Fe 2.39-2.67, 6 Co 2.40-2.65
Co12 0.6584 0.1468 0.6515  3 Fe 2.42-2.62, 6 Co 2.47-2.65
Fe1 0.0000 0.0000 0.5000  8 Co 2.39-2.42, 2 Fe 2.58
Fe2 0.9045 0.9045 0.9024  4 Fe 2.35-2.61, 2 Co 2.62
Fe3 0.0000 0.5000 0.0000  8 Co 2.39-2.46, 2 Fe 2.61
Fe4 0.0955 0.0955 0.0976  4 Fe 2.35-2.61, 2 Co 2.62
Fe5 0.5000 0.0000 0.0000  8 Co 2.39-2.46, 2 Fe 2.61

***

VASP calculation (GGA-PBE) on a relaxed PrHf2Zr crystal.

## Properties
- DOS at the Fermi energy (states/eV per atom) = 1.41
- formation enthalpy at 0 K (eV/f.u.) = 1.07
- VASP energy (eV per atom) = -8.04
- density (g/cm³) = 9.50
- energy above the lowest structure with this stoichiometry (meV per atom) = 82

Lattice parameters (Å, degrees): 3.2304 3.2304 11.5470 81.96 81.96 60.00
Last column: nearest neighbours and their distance in Å.
Fractional coordinates of all 4 atoms:
Hf1 0.9060 0.9060 0.2819  3 Zr 3.11, 1 Pr 3.21, 6 Hf 3.23
Hf2 0.0940 0.0940 0.7181  3 Zr 3.11, 1 Pr 3.21, 6 Hf 3.23
Pr1 0.0000 0.0000 0.0000  2 Hf 3.21, 6 Pr 3.23
Zr1 0.5000 0.5000 0.5000  6 Hf 3.11, 6 Zr 3.23

***

Among the records above, which one has the lowest DOS at the Fermi energy? TbSmDy2Se6

***

Which value of density does entry 9 give? 8.46 g/cm³

***

The lowest DOS at the Fermi energy belongs to which entry? TbSmDy2Se6

***

Copy entry 9 word for word.
VASP calculation (GGA-PBE) on a relaxed Sm2Fe5Co12C crystal.

## Properties
- DOS at the Fermi energy (states/eV per atom) = 1.08
- formation enthalpy at 0 K (eV/f.u.) = -1.15
- VASP energy (eV per atom) = -7.37
- density (g/cm³) = 8.46

Lattice parameters (Å, degrees): 6.3952 6.3952 6.3458 83.72 83.72 83.49
Last column: nearest neighbours and their distance in Å.
Fractional coordinates of all 20 atoms:
C1 0.5000 0.5000 0.0000  4 Co 1.84-1.85
Sm1 0.6601 0.6601 0.6418  1 C 2.55
Sm2 0.3399 0.3399 0.3582  1 C 2.55
Co1 0.2838 0.7162 0.0000  1 C 1.84
Co2 0.7162 0.2838 0.0000  1 C 1.84
Co3 0.0010 0.2825 0.7173  3 Fe 2.39-2.67, 6 Co 2.40-2.65
Co4 0.9990 0.7175 0.2827  3 Fe 2.39-2.67, 6 Co 2.40-2.65
Co5 0.8532 0.3416 0.3485  3 Fe 2.42-2.62, 6 Co 2.47-2.65
Co6 0.2825 0.0010 0.7173  3 Fe 2.39-2.67, 6 Co 2.40-2.65
Co7 0.3459 0.3459 0.8549  1 C 1.85
Co8 0.3416 0.8532 0.3485  3 Fe 2.42-2.62, 6 Co 2.47-2.65
Co9 0.6541 0.6541 0.1451  1 C 1.85
Co10 0.1468 0.6584 0.6515  3 Fe 2.42-2.62, 6 Co 2.47-2.65
Co11 0.7175 0.9990 0.2827  3 Fe 2.39-2.67, 6 Co 2.40-2.65
Co12 0.6584 0.1468 0.6515  3 Fe 2.42-2.62, 6 Co 2.47-2.65
Fe1 0.0000 0.0000 0.5000  8 Co 2.39-2.42, 2 Fe 2.58
Fe2 0.9045 0.9045 0.9024  4 Fe 2.35-2.61, 2 Co 2.62
Fe3 0.0000 0.5000 0.0000  8 Co 2.39-2.46, 2 Fe 2.61
Fe4 0.0955 0.0955 0.0976  4 Fe 2.35-2.61, 2 Co 2.62
Fe5 0.5000 0.0000 0.0000  8 Co 2.39-2.46, 2 Fe 2.61